(a)
Material: NaCrRe3
Method: DFT, GGA-PBE
State: relaxed

Cell: 4.520 4.520 4.520 Å, 90.00 90.00 90.00°
Positions (direct):
Re 0.000 0.500 0.000
Re 0.500 0.000 0.000
Re 0.000 0.000 0.500
Na 0.500 0.500 0.500
Cr 0.000 0.000 0.000

(b)
Material: NaCrRe3
Method: DFT, GGA-PBE
State: relaxed

Cell: 4.376 4.376 4.376 Å, 90.00 90.00 90.00°
Site moments in Bohr magnetons follow the coordinates.
Positions (direct):
Na 0.000 0.000 0.000  0.04
Re 0.000 0.500 0.000  0.35
Re 0.500 0.000 0.000  0.30
Re 0.000 0.000 0.500  0.23
Cr 0.500 0.500 0.500  0.12

If we sort the structures by their calculated energies, the order from most to least stable is (a), (b).

(a)
Material: NaCr2Re2
Method: DFT, GGA-PBE
State: relaxed

Cell: 7.741 7.741 2.589 Å, 90.00 90.00 90.00°
Positions (direct):
Na 0.000 0.000 0.000
Na 0.500 0.500 0.000
Cr 0.851 0.351 0.500
Cr 0.649 0.851 0.500
Cr 0.351 0.149 0.500
Cr 0.149 0.649 0.500
Re 0.143 0.357 0.000
Re 0.857 0.643 0.000
Re 0.643 0.143 0.000
Re 0.357 0.857 0.000

(b)
Material: NaCr2Re2
Method: DFT, GGA-PBE
State: relaxed

Cell: 4.030 4.030 6.026 Å, 70.46 70.46 90.00°
Positions (direct):
Cr 0.750 0.250 0.500
Cr 0.250 0.750 0.500
Re 0.626 0.626 0.748
Re 0.374 0.374 0.252
Na 0.000 0.000 0.000

If we sort the structures by their calculated energies, the order from most to least stable is (a), (b).

(a)
Material: NaCr2Rh2
Method: DFT, GGA-PBE
State: relaxed

Cell: 7.480 7.480 2.658 Å, 90.00 90.00 90.00°
Positions (direct):
Cr 0.391 0.891 0.000
Cr 0.609 0.109 0.000
Cr 0.891 0.609 0.000
Cr 0.109 0.391 0.000
Rh 0.328 0.172 0.500
Rh 0.672 0.828 0.500
Rh 0.828 0.328 0.500
Rh 0.172 0.672 0.500
Na 0.000 0.000 0.000
Na 0.500 0.500 0.000

(b)
Material: NaCr2Rh2
Method: DFT, GGA-PBE
State: relaxed

Cell: 7.518 7.518 2.654 Å, 90.00 90.00 90.00°
Site moments in Bohr magnetons follow the coordinates.
Positions (direct):
Rh 0.868 0.632 0.000  -0.12
Rh 0.132 0.368 0.000  -0.12
Rh 0.632 0.132 0.000  -0.11
Rh 0.368 0.868 0.000  -0.11
Cr 0.660 0.840 0.500  1.12
Cr 0.340 0.160 0.500  1.12
Cr 0.840 0.340 0.500  1.10
Cr 0.160 0.660 0.500  1.10
Na 0.000 0.000 0.000  0.00
Na 0.500 0.500 0.000  0.00

If we sort the structures by their calculated energies, the order from most to least stable is (a), (b).

(a)
Material: NaCrRh3
Method: DFT, GGA-PBE
State: relaxed

Cell: 4.390 4.390 4.390 Å, 90.00 90.00 90.00°
Site moments in Bohr magnetons follow the coordinates.
Positions (direct):
Rh 0.000 0.500 0.000  0.26
Rh 0.000 0.000 0.500  0.23
Rh 0.500 0.000 0.000  0.21
Cr 0.500 0.500 0.500  -0.21
Na 0.000 0.000 0.000  0.00

(b)
Material: NaCrRh3
Method: DFT, GGA-PBE
State: relaxed

Cell: 4.511 4.511 4.511 Å, 90.00 90.00 90.00°
Positions (direct):
Rh 0.500 0.000 0.000
Rh 0.000 0.000 0.500
Rh 0.000 0.500 0.000
Cr 0.000 0.000 0.000
Na 0.500 0.500 0.500

If we sort the structures by their calculated energies, the order from most to least stable is (b), (a).

(a)
Material: Na3CrRh
Method: DFT, GGA-PBE
State: relaxed

Cell: 5.387 5.387 5.387 Å, 90.00 90.00 90.00°
Site moments in Bohr magnetons follow the coordinates.
Positions (direct):
Cr 0.000 0.000 0.000  4.32
Na 0.000 0.500 0.000  0.01
Na 0.000 0.000 0.500  0.00
Na 0.500 0.000 0.000  0.02
Rh 0.500 0.500 0.500  1.01

(b)
Material: Na3CrRh
Method: DFT, GGA-PBE
State: relaxed

Cell: 5.311 5.311 5.311 Å, 90.00 90.00 90.00°
Site moments in Bohr magnetons follow the coordinates.
Positions (direct):
Na 0.000 0.500 0.000  0.00
Na 0.500 0.000 0.000  0.00
Na 0.000 0.000 0.500  0.00
Rh 0.000 0.000 0.000  0.27
Cr 0.500 0.500 0.500  4.33

If we sort the structures by their calculated energies, the order from most to least stable is (b), (a).

(a)
Material: NaCrRu3
Method: DFT, GGA-PBE
State: relaxed

Cell: 4.340 4.340 4.340 Å, 90.00 90.00 90.00°
Positions (direct):
Ru 0.000 0.500 0.000
Ru 0.500 0.000 0.000
Ru 0.000 0.000 0.500
Cr 0.500 0.500 0.500
Na 0.000 0.000 0.000

(b)
Material: NaCrRu3
Method: DFT, GGA-PBE
State: relaxed

Cell: 4.485 4.485 4.485 Å, 90.00 90.00 90.00°
Site moments in Bohr magnetons follow the coordinates.
Positions (direct):
Ru 0.500 0.000 0.000  0.36
Ru 0.000 0.000 0.500  0.26
Ru 0.000 0.500 0.000  0.39
Na 0.500 0.500 0.500  0.00
Cr 0.000 0.000 0.000  -0.15

If we sort the structures by their calculated energies, the order from most to least stable is (b), (a).

(a)
Material: NaCrS3
Method: DFT, GGA-PBE
State: relaxed

Cell: 4.547 4.547 4.547 Å, 90.00 90.00 90.00°
Positions (direct):
Cr 0.000 0.000 0.000
S 0.000 0.500 0.000
S 0.000 0.000 0.500
S 0.500 0.000 0.000
Na 0.500 0.500 0.500

(b)
Material: NaCrS3
Method: DFT, GGA-PBE
State: relaxed

Cell: 4.751 4.751 4.751 Å, 90.00 90.00 90.00°
Site moments in Bohr magnetons follow the coordinates.
Positions (direct):
Na 0.000 0.000 0.000  0.01
S 0.000 0.500 0.000  0.32
S 0.500 0.000 0.000  0.26
S 0.000 0.000 0.500  0.22
Cr 0.500 0.500 0.500  0.71

If we sort the structures by their calculated energies, the order from most to least stable is (a), (b).

(a)
Material: NaCr3S
Method: DFT, GGA-PBE
State: relaxed

Cell: 4.254 4.254 4.254 Å, 90.00 90.00 90.00°
Positions (direct):
Cr 0.500 0.000 0.000
Cr 0.000 0.500 0.000
Cr 0.000 0.000 0.500
S 0.000 0.000 0.000
Na 0.500 0.500 0.500

(b)
Material: NaCr3S
Method: DFT, GGA-PBE
State: relaxed

Cell: 4.982 4.982 4.982 Å, 90.00 90.00 90.00°
Site moments in Bohr magnetons follow the coordinates.
Positions (direct):
Na 0.000 0.000 0.000  0.07
S 0.500 0.500 0.500  -0.06
Cr 0.500 0.000 0.000  4.23
Cr 0.000 0.000 0.500  4.20
Cr 0.000 0.500 0.000  4.22

If we sort the structures by their calculated energies, the order from most to least stable is (a), (b).